Entry 1:
AlTe2Au | PBE-GGA | relaxed

Geometry as CIF:
```
data_AlTe2Au
_cell_length_a 7.3735
_cell_length_b 7.3735
_cell_length_c 7.3735
_cell_angle_alpha 122.28
_cell_angle_beta 82.91
_cell_angle_gamma 126.11
_space_group_name_H-M_alt 'P 1'
_space_group_IT_number 1
loop_
_space_group_symop_operation_xyz
'x,y,z'
loop_
_atom_site_label
_atom_site_type_symbol
_atom_site_fract_x
_atom_site_fract_y
_atom_site_fract_z
_atom_site_occupancy
Al1 Al 0.2500 0.2500 0.0000 1
Al2 Al 0.7500 0.7500 0.0000 1
Te1 Te 0.1379 0.1999 0.3378 1
Te2 Te 0.3621 0.6999 0.0620 1
Te3 Te 0.6379 0.3001 0.9380 1
Te4 Te 0.8621 0.8001 0.6622 1
Au1 Au 0.0000 0.5000 0.5000 1
Au2 Au 0.5000 0.0000 0.5000 1
```

Summary:
Crystal system: orthorhombic

Entry 2:
AlTeAu | PBE-GGA | relaxed

Geometry as CIF:
```
data_AlTeAu
_cell_length_a 4.7175
_cell_length_b 4.7175
_cell_length_c 4.7175
_cell_angle_alpha 60.00
_cell_angle_beta 60.00
_cell_angle_gamma 60.00
_space_group_name_H-M_alt 'P 1'
_space_group_IT_number 1
loop_
_space_group_symop_operation_xyz
'x,y,z'
loop_
_atom_site_label
_atom_site_type_symbol
_atom_site_fract_x
_atom_site_fract_y
_atom_site_fract_z
_atom_site_occupancy
Al1 Al 0.0000 0.0000 0.0000 1
Te1 Te 0.5000 0.5000 0.5000 1
Au1 Au 0.2500 0.2500 0.2500 1
```

Summary:
Crystal system: cubic

Entry 3:
AlTe2Au | PBE-GGA | relaxed

Geometry as CIF:
```
data_AlTe2Au
_cell_length_a 6.4639
_cell_length_b 6.4748
_cell_length_c 6.7475
_cell_angle_alpha 89.86
_cell_angle_beta 89.83
_cell_angle_gamma 89.91
_space_group_name_H-M_alt 'P 1'
_space_group_IT_number 1
loop_
_space_group_symop_operation_xyz
'x,y,z'
loop_
_atom_site_label
_atom_site_type_symbol
_atom_site_fract_x
_atom_site_fract_y
_atom_site_fract_z
_atom_site_occupancy
Al1 Al 0.9997 0.9998 0.2500 1
Al2 Al 0.0003 0.0002 0.7500 1
Te1 Te 0.1900 0.7401 0.0000 1
Te2 Te 0.2598 0.1892 0.4985 1
Te3 Te 0.7402 0.8108 0.5015 1
Te4 Te 0.8100 0.2599 0.0000 1
Au1 Au 0.0000 0.5000 0.5000 1
Au2 Au 0.5000 0.0000 0.0000 1
```

Summary:
Crystal system: triclinic

Entry 4:
AlTl3Au2 | PBE-GGA | relaxed

Geometry as CIF:
```
data_AlTl3Au2
_cell_length_a 4.7605
_cell_length_b 4.7605
_cell_length_c 6.7263
_cell_angle_alpha 90.00
_cell_angle_beta 90.00
_cell_angle_gamma 90.00
_space_group_name_H-M_alt 'P 1'
_space_group_IT_number 1
loop_
_space_group_symop_operation_xyz
'x,y,z'
loop_
_atom_site_label
_atom_site_type_symbol
_atom_site_fract_x
_atom_site_fract_y
_atom_site_fract_z
_atom_site_occupancy
Al1 Al 0.0000 0.0000 0.0000 1
Tl1 Tl 0.0000 0.0000 0.5000 1
Tl2 Tl 0.5000 0.5000 0.0000 1
Tl3 Tl 0.5000 0.5000 0.5000 1
Au1 Au 0.0000 0.5000 0.7809 1
Au2 Au 0.5000 0.0000 0.2191 1
```

Summary:
Crystal system: tetragonal

| no. | E (eV/atom) |
| --- | --- |
| 1 | -3.651 |
| 2 | -3.353 |
| 3 | -3.638 |
| 4 | -2.917 |